A geometry-optimized TlSi2Ir structure, computed with PBE.

Lattice parameters (Å, degrees): 6.0231 6.0231 6.0231 152.54 131.96 56.23
Fractional coordinates of all 4 atoms:
Si: 0.4496 0.4496 0.0000
Si: 0.0504 0.0504 0.0000
Tl: 0.7500 0.2500 0.5000
Ir: 0.2500 0.7500 0.5000

Computed properties:
- VASP energy: -20.61 eV per cell
- Raw formation energy: 0.37 eV/atom
- Size of the total moment: 0.00 Bohr magnetons per cell